1.
{"formula": "RbScSeN2", "functional": "PBE", "state": "relaxed", "lattice": [[4.194, 0.000, 0.000], [0.000, 4.194, 0.000], [0.000, 0.000, 6.042]], "species": ["N", "Se", "Rb", "Sc", "N"], "fractional_positions": [[0.000, 0.500, 0.000], [0.000, 0.000, 0.500], [0.000, 0.000, 0.000], [0.500, 0.500, 0.500], [0.500, 0.000, 0.000]], "de_polymorph_mev_per_atom": 1614}

2.
{"formula": "RbScSe2N", "functional": "PBE", "state": "relaxed", "lattice": [[5.380, 0.000, 0.000], [0.000, 5.380, 0.000], [0.000, 0.000, 4.421]], "species": ["N", "Rb", "Se", "Se", "Sc"], "fractional_positions": [[0.000, 0.000, 0.500], [0.500, 0.500, 0.500], [0.000, 0.500, 0.000], [0.500, 0.000, 0.000], [0.000, 0.000, 0.000]], "de_polymorph_mev_per_atom": 0}

3.
{"formula": "RbScSeN2", "functional": "PBE", "state": "relaxed", "lattice": [[4.562, 0.000, 0.000], [0.000, 4.562, 0.000], [0.000, 0.000, 5.310]], "species": ["Sc", "N", "Rb", "N", "Se"], "fractional_positions": [[0.000, 0.000, 0.000], [0.000, 0.500, 0.000], [0.500, 0.500, 0.500], [0.500, 0.000, 0.000], [0.000, 0.000, 0.500]], "de_polymorph_mev_per_atom": 0}

4.
{"formula": "RbScSe2N", "functional": "PBE", "state": "relaxed", "lattice": [[5.676, 0.000, 0.000], [0.000, 5.676, 0.000], [0.000, 0.000, 4.398]], "species": ["Se", "Sc", "Rb", "Se", "N"], "fractional_positions": [[0.000, 0.500, 0.000], [0.500, 0.500, 0.500], [0.000, 0.000, 0.000], [0.500, 0.000, 0.000], [0.000, 0.000, 0.500]], "de_polymorph_mev_per_atom": 1698}

5.
{"formula": "RbScTcN2", "functional": "PBE", "state": "relaxed", "lattice": [[4.456, 0.000, 0.000], [0.000, 4.456, 0.000], [0.000, 0.000, 5.113]], "species": ["N", "Sc", "N", "Rb", "Tc"], "fractional_positions": [[0.000, 0.500, 0.000], [0.500, 0.500, 0.500], [0.500, 0.000, 0.000], [0.000, 0.000, 0.000], [0.000, 0.000, 0.500]], "e_tot_ev_per_cell": -20.08}

6.
{"formula": "RbScTe2N", "functional": "PBE", "state": "relaxed", "lattice": [[6.090, 0.000, 0.000], [0.000, 6.090, 0.000], [0.000, 0.000, 4.433]], "species": ["Te", "Te", "Sc", "N", "Rb"], "fractional_positions": [[0.000, 0.500, 0.000], [0.500, 0.000, 0.000], [0.500, 0.500, 0.500], [0.000, 0.000, 0.500], [0.000, 0.000, 0.000]], "de_polymorph_mev_per_atom": 1594}

7.
{"formula": "RbScTeN2", "functional": "PBE", "state": "relaxed", "lattice": [[4.833, 0.000, 0.000], [0.000, 4.833, 0.000], [0.000, 0.000, 6.822]], "species": ["Sc", "Rb", "N", "Te", "N"], "fractional_positions": [[0.500, 0.500, 0.500], [0.000, 0.000, 0.000], [0.500, 0.000, 0.000], [0.000, 0.000, 0.500], [0.000, 0.500, 0.000]], "de_polymorph_mev_per_atom": 1445}

8.
{"formula": "RbScTeN2", "functional": "PBE", "state": "relaxed", "lattice": [[4.646, 0.000, 0.000], [0.000, 4.646, 0.000], [0.000, 0.000, 5.716]], "species": ["Sc", "N", "Rb", "Te", "N"], "fractional_positions": [[0.000, 0.000, 0.000], [0.500, 0.000, 0.000], [0.500, 0.500, 0.500], [0.000, 0.000, 0.500], [0.000, 0.500, 0.000]], "de_polymorph_mev_per_atom": 0}

9.
{"formula": "RbScTe2N", "functional": "PBE", "state": "relaxed", "lattice": [[-4.945, 1.905, -3.138], [-2.238, -5.737, 0.044], [-1.882, 0.760, 3.427]], "species": ["N", "Rb", "Sc", "Te", "Te"], "fractional_positions": [[0.000, 0.000, 0.500], [0.500, 0.500, 0.500], [0.000, 0.000, 0.000], [0.500, 0.000, 0.000], [0.000, 0.500, 0.000]], "de_polymorph_mev_per_atom": 0}

10.
{"formula": "RbSc2VN", "functional": "PBE", "state": "relaxed", "lattice": [[-5.040, -1.759, -0.230], [0.589, -1.165, -3.993], [1.608, -4.823, 1.645]], "species": ["Rb", "Sc", "V", "N", "Sc"], "fractional_positions": [[0.000, 0.000, 0.000], [0.500, 0.000, 0.000], [0.500, 0.500, 0.500], [0.000, 0.500, 0.000], [0.000, 0.000, 0.500]], "e_tot_ev_per_cell": -20.19}

11.
{"formula": "Rb2SeN6", "functional": "PBE", "state": "relaxed", "lattice": [[8.728, 0.000, 0.000], [0.000, 5.531, -3.307], [0.000, 0.020, 6.647]], "species": ["Rb", "Se", "N", "N", "N", "N", "N", "Rb", "N"], "fractional_positions": [[0.000, 0.343, 0.673], [0.000, 0.000, 0.000], [0.500, 0.999, 0.416], [0.500, 0.001, 0.584], [0.500, 0.585, 0.997], [0.500, 0.584, 0.588], [0.500, 0.416, 0.412], [0.000, 0.657, 0.327], [0.500, 0.415, 0.003]], "e_tot_ev_per_cell": -56.68}

12.
{"formula": "RbSeN", "functional": "PBE", "state": "relaxed", "lattice": [[4.393, 0.000, 0.000], [0.000, 6.971, 0.000], [0.000, 0.000, 10.670]], "species": ["N", "Se", "Rb", "Rb", "Rb", "Se", "N", "Se", "Rb", "Se", "N", "N"], "fractional_positions": [[0.750, 0.410, 0.902], [0.750, 0.342, 0.059], [0.250, 0.347, 0.321], [0.250, 0.153, 0.821], [0.750, 0.653, 0.679], [0.250, 0.842, 0.441], [0.250, 0.590, 0.098], [0.250, 0.658, 0.941], [0.750, 0.847, 0.179], [0.750, 0.158, 0.559], [0.250, 0.910, 0.598], [0.750, 0.090, 0.402]], "de_polymorph_mev_per_atom": 645}

13.
{"formula": "RbSe2N6", "functional": "PBE", "state": "relaxed", "lattice": [[-6.192, -2.674, 0.533], [9.251, -12.905, -0.213], [-1.360, 3.597, 2.241]], "species": ["N", "N", "Rb", "Se", "N", "N", "N", "Se", "N"], "fractional_positions": [[0.688, 0.000, 0.500], [0.990, 0.432, 0.296], [0.000, 0.000, 0.000], [0.587, 0.173, 0.017], [0.312, 0.000, 0.500], [0.010, 0.568, 0.704], [0.442, 0.432, 0.296], [0.413, 0.827, 0.983], [0.558, 0.568, 0.704]], "e_tot_ev_per_cell": -55.54}

14.
{"formula": "Rb5Se2N2", "functional": "PBE", "state": "relaxed", "lattice": [[3.434, 1.949, 4.338], [-0.602, -5.129, 2.781], [14.848, -2.383, 5.007]], "species": ["Rb", "N", "Se", "Rb", "Se", "Rb", "Rb", "Rb", "N"], "fractional_positions": [[0.853, 0.594, 0.812], [0.079, 0.495, 0.010], [0.097, 0.844, 0.312], [0.000, 0.000, 0.000], [0.903, 0.156, 0.688], [0.724, 0.237, 0.525], [0.147, 0.406, 0.188], [0.276, 0.763, 0.475], [0.921, 0.505, 0.990]], "e_tot_ev_per_cell": -34.52}

15.
{"formula": "Rb7SeN12", "functional": "PBE", "state": "relaxed", "lattice": [[-3.126, -3.269, -7.707], [-2.621, -4.733, 7.112], [-1.464, 8.767, 0.916]], "species": ["Rb", "N", "N", "N", "N", "Rb", "N", "Rb", "Rb", "N", "N", "Rb", "N", "Rb", "Se", "Rb", "N", "N", "N", "N"], "fractional_positions": [[0.922, 0.214, 0.344], [0.945, 0.475, 0.773], [0.620, 0.768, 0.333], [0.232, 0.667, 0.380], [0.475, 0.773, 0.945], [0.500, 0.500, 0.500], [0.333, 0.620, 0.768], [0.078, 0.786, 0.656], [0.344, 0.922, 0.214], [0.667, 0.380, 0.232], [0.380, 0.232, 0.667], [0.656, 0.078, 0.786], [0.773, 0.945, 0.475], [0.786, 0.656, 0.078], [0.000, 0.000, 0.000], [0.214, 0.344, 0.922], [0.055, 0.525, 0.227], [0.525, 0.227, 0.055], [0.768, 0.333, 0.620], [0.227, 0.055, 0.525]], "e_tot_ev_per_cell": -114.59}

16.
{"formula": "Rb4SeN12", "functional": "PBE", "state": "relaxed", "lattice": [[7.825, 0.000, -2.767], [-3.912, 6.777, -2.767], [0.000, 0.000, 8.300]], "species": ["Rb", "Rb", "Se", "N", "N", "N", "Rb", "N", "N", "Rb", "N", "N", "N", "N", "N", "N", "N"], "fractional_positions": [[0.500, 0.000, 0.000], [0.000, 0.500, 0.000], [0.000, 0.000, 0.000], [0.341, 0.441, 0.782], [0.099, 0.659, 0.441], [0.559, 0.901, 0.341], [0.500, 0.500, 0.500], [0.341, 0.559, 0.901], [0.659, 0.441, 0.099], [0.000, 0.000, 0.500], [0.659, 0.559, 0.218], [0.782, 0.341, 0.441], [0.901, 0.341, 0.559], [0.218, 0.659, 0.559], [0.441, 0.782, 0.341], [0.441, 0.099, 0.659], [0.559, 0.218, 0.659]], "e_tot_ev_per_cell": -110.06}

17.
{"formula": "RbSe2N2", "functional": "PBE", "state": "relaxed", "lattice": [[-1.418, 2.611, -3.300], [-3.889, 0.516, 2.080], [1.877, 4.152, 2.480]], "species": ["Se", "N", "Se", "Rb", "N"], "fractional_positions": [[0.000, 0.000, 0.000], [0.500, 0.000, 0.000], [0.000, 0.000, 0.500], [0.500, 0.500, 0.500], [0.000, 0.500, 0.000]], "de_polymorph_mev_per_atom": 889}

18.
{"formula": "RbSeN", "functional": "PBE", "state": "relaxed", "lattice": [[4.479, 0.000, 1.008], [2.157, 5.007, 0.871], [0.391, 1.338, 8.711]], "species": ["Rb", "Rb", "Se", "N", "N", "Se"], "fractional_positions": [[0.227, 0.568, 0.155], [0.392, 0.902, 0.490], [0.013, 0.412, 0.738], [0.901, 0.133, 0.241], [0.083, 0.475, 0.535], [0.758, 0.823, 0.837]], "de_polymorph_mev_per_atom": 1042}

19.
{"formula": "Rb3SeN", "functional": "PBE", "state": "relaxed", "lattice": [[5.605, 0.000, 0.000], [0.000, 5.605, 0.000], [0.000, 0.000, 5.605]], "species": ["N", "Rb", "Se", "Rb", "Rb"], "fractional_positions": [[0.000, 0.000, 0.000], [0.500, 0.000, 0.000], [0.500, 0.500, 0.500], [0.000, 0.500, 0.000], [0.000, 0.000, 0.500]], "de_polymorph_mev_per_atom": 0}

20.
{"formula": "RbSe2N2", "functional": "PBE", "state": "relaxed", "lattice": [[4.411, 0.890, -0.944], [6.052, 8.593, -9.115], [-4.847, -9.505, 14.120]], "species": ["Se", "Rb", "Se", "N", "N"], "fractional_positions": [[0.762, 0.421, 0.054], [0.000, 0.000, 0.000], [0.238, 0.579, 0.946], [0.122, 0.375, 0.683], [0.878, 0.625, 0.317]], "de_polymorph_mev_per_atom": 0}

21.
{"formula": "RbSe2N2", "functional": "PBE", "state": "relaxed", "lattice": [[-1.105, 5.278, -4.229], [1.294, -4.041, -5.381], [-5.986, -1.503, -0.311]], "species": ["N", "N", "Rb", "Se", "Se"], "fractional_positions": [[0.000, 0.000, 0.500], [0.500, 0.500, 0.500], [0.000, 0.000, 0.000], [0.000, 0.500, 0.000], [0.500, 0.000, 0.000]], "de_polymorph_mev_per_atom": 2027}

22.
{"formula": "RbSeN", "functional": "PBE", "state": "relaxed", "lattice": [[5.000, 0.000, -0.314], [0.000, 5.020, 0.000], [-2.493, -2.510, 9.594]], "species": ["Se", "Se", "N", "Rb", "Rb", "N"], "fractional_positions": [[0.032, 0.275, 0.550], [0.968, 0.725, 0.450], [0.908, 0.475, 0.950], [0.390, 0.160, 0.320], [0.610, 0.840, 0.680], [0.092, 0.525, 0.050]], "de_polymorph_mev_per_atom": 0}

23.
{"formula": "RbSeN3", "functional": "PBE", "state": "relaxed", "lattice": [[-0.795, -1.670, 4.768], [4.954, -1.200, 0.406], [0.986, 4.682, 1.805]], "species": ["N", "Se", "N", "Rb", "N"], "fractional_positions": [[0.000, 0.500, 0.000], [0.500, 0.500, 0.500], [0.500, 0.000, 0.000], [0.000, 0.000, 0.000], [0.000, 0.000, 0.500]], "e_tot_ev_per_cell": -13.67}

24.
{"formula": "RbSe2N2", "functional": "PBE", "state": "relaxed", "lattice": [[4.240, 0.000, 0.000], [0.000, 4.240, 0.000], [0.000, 0.000, 6.308]], "species": ["N", "Se", "Rb", "Se", "N"], "fractional_positions": [[0.000, 0.000, 0.500], [0.000, 0.500, 0.000], [0.500, 0.500, 0.500], [0.500, 0.000, 0.000], [0.000, 0.000, 0.000]], "de_polymorph_mev_per_atom": 904}

25.
{"formula": "RbSe3N", "functional": "PBE", "state": "relaxed", "lattice": [[6.911, 0.000, 0.000], [0.000, 6.911, 0.000], [0.000, 0.000, 6.911]], "species": ["N", "Rb", "Se", "Se", "Se"], "fractional_positions": [[0.500, 0.500, 0.500], [0.000, 0.000, 0.000], [0.000, 0.500, 0.000], [0.000, 0.000, 0.500], [0.500, 0.000, 0.000]], "de_polymorph_mev_per_atom": 1225}

26.
{"formula": "RbSeN3", "functional": "PBE", "state": "relaxed", "lattice": [[4.112, 0.000, 0.000], [0.000, 4.112, 0.000], [0.000, 0.000, 4.112]], "species": ["Rb", "N", "N", "Se", "N"], "fractional_positions": [[0.500, 0.500, 0.500], [0.000, 0.500, 0.000], [0.000, 0.000, 0.500], [0.000, 0.000, 0.000], [0.500, 0.000, 0.000]], "e_tot_ev_per_cell": -20.58}